Record 1
Pr2CuSb3Pt4 | PBE | optimized geometry

Computed properties:
Crystal system = tetragonal
Uncorrected formation energy = -798.8 meV per atom

Cell lengths 4.5846, 4.5846, 10.3988 Å; angles 90.00, 90.00, 90.00 degrees
With the nearest neighbours (Å) after each atom.
Element x y z (fractional)
Pt 0.5000 0.0000 0.6176  3 Sb 2.58-2.60, 2 Cu 2.60
Pt 0.0000 0.5000 0.3824  3 Sb 2.58-2.60, 2 Cu 2.60
Pt 0.5000 0.5000 0.0000  4 Sb 2.69
Pt 0.0000 0.0000 0.0000  4 Sb 2.69
Cu 0.5000 0.5000 0.5000  4 Pt 2.60
Sb 0.5000 0.0000 0.8654  5 Pt 2.58-2.69
Sb 0.0000 0.0000 0.5000  4 Pt 2.60
Sb 0.0000 0.5000 0.1346  5 Pt 2.58-2.69
Pr 0.5000 0.0000 0.2489  6 Sb 3.45-3.47, 9 Pt 3.46-3.83, 2 Cu 3.47
Pr 0.0000 0.5000 0.7511  6 Sb 3.45-3.47, 9 Pt 3.46-3.83, 2 Cu 3.47


Record 2
Pr2CuSi4Pt3 | PBE | optimized geometry

Computed properties:
Crystal system = tetragonal
Uncorrected formation energy = -991.6 meV per atom

Cell lengths 4.2577, 4.2577, 9.9203 Å; angles 90.00, 90.00, 90.00 degrees
With the nearest neighbours (Å) after each atom.
Element x y z (fractional)
Si 0.5000 0.0000 0.6308  3 Pt 2.47-2.49, 2 Cu 2.49
Si 0.0000 0.5000 0.3692  3 Pt 2.47-2.49, 2 Cu 2.49
Si 0.0000 0.0000 0.0000  4 Pt 2.44
Si 0.5000 0.5000 0.0000  4 Pt 2.44
Pt 0.0000 0.5000 0.1206  5 Si 2.44-2.47
Pt 0.0000 0.0000 0.5000  4 Si 2.49
Pt 0.5000 0.0000 0.8794  5 Si 2.44-2.47
Pr 0.5000 0.0000 0.2502  8 Si 3.23-3.27, 2 Cu 3.27, 6 Pt 3.27
Pr 0.0000 0.5000 0.7498  8 Si 3.23-3.27, 2 Cu 3.27, 6 Pt 3.27
Cu 0.5000 0.5000 0.5000  4 Si 2.49


Record 3
PrCuSi2Pt2 | PBE | optimized geometry

Computed properties:
Crystal system = tetragonal
Uncorrected formation energy = -529.2 meV per atom

Cell lengths 4.2323, 4.2323, 7.3342 Å; angles 106.77, 106.77, 90.00 degrees
With the nearest neighbours (Å) after each atom.
Element x y z (fractional)
Si 0.1631 0.1631 0.3261  1 Cu 2.18, 4 Pt 2.42
Si 0.8369 0.8369 0.6739  1 Cu 2.18, 4 Pt 2.42
Pt 0.7500 0.2500 0.5000  4 Si 2.42
Pt 0.2500 0.7500 0.5000  4 Si 2.42
Pr 0.5000 0.5000 0.0000  4 Cu 2.99
Cu 0.0000 0.0000 0.0000  2 Si 2.18


Record 4
PrCuSiPt6 | PBE | optimized geometry

Computed properties:
Crystal system = orthorhombic
Uncorrected formation energy = -343.1 meV per atom

Cell lengths 6.6356, 9.2052, 7.9925 Å; angles 125.16, 114.53, 90.00 degrees
With the nearest neighbours (Å) after each atom.
Element x y z (fractional)
Si 0.5000 0.5000 0.0000  6 Pt 2.31-2.45
Si 0.5000 0.0000 0.0000  6 Pt 2.31-2.45
Pt 0.4245 0.6745 0.8490  2 Si 2.45
Pt 0.5755 0.3255 0.1510  2 Si 2.45
Pt 0.3565 0.1142 0.2557  1 Si 2.31, 1 Cu 2.58
Pt 0.8992 0.1142 0.2557  1 Si 2.31, 1 Cu 2.58
Pt 0.6435 0.3585 0.7443  1 Si 2.31, 1 Cu 2.58
Pt 0.1008 0.8858 0.7443  1 Si 2.31, 1 Cu 2.58
Pt 0.0874 0.8374 0.1748  2 Cu 2.47, 4 Pt 2.69
Pt 0.6435 0.8858 0.7443  1 Si 2.31, 1 Cu 2.58
Pt 0.3565 0.6415 0.2557  1 Si 2.31, 1 Cu 2.58
Pt 0.8992 0.6415 0.2557  1 Si 2.31, 1 Cu 2.58
Pt 0.1008 0.3585 0.7443  1 Si 2.31, 1 Cu 2.58
Pt 0.9126 0.1626 0.8252  2 Cu 2.47, 4 Pt 2.69
Cu 0.5000 0.0000 0.5000  6 Pt 2.47-2.58
Cu 0.0000 0.0000 0.5000  6 Pt 2.47-2.58
Pr 0.1679 0.4179 0.3357  6 Pt 2.87-2.90
Pr 0.8321 0.5821 0.6643  6 Pt 2.87-2.90


Record 5
Pr2CuSiPt6 | PBE | optimized geometry

Computed properties:
Crystal system = trigonal
Uncorrected formation energy = -787.6 meV per atom

Cell lengths 5.6601, 8.0434, 8.0434 Å; angles 41.20, 69.40, 90.00 degrees
With the nearest neighbours (Å) after each atom.
Element x y z (fractional)
Pr 0.7954 0.2047 0.4095  9 Pt 3.07-3.33, 3 Cu 3.37
Pr 0.2046 0.7953 0.5905  9 Pt 3.07-3.33, 3 Cu 3.37
Pt 0.7526 0.2472 0.9768  1 Si 2.36, 1 Cu 2.57
Pt 0.7298 0.7527 0.0231  1 Si 2.36, 1 Cu 2.57
Pt 0.2474 0.7528 0.0232  1 Si 2.36, 1 Cu 2.57
Pt 0.2702 0.2473 0.9769  1 Si 2.36, 1 Cu 2.57
Pt 0.2474 0.2704 0.5055  1 Si 2.36, 1 Cu 2.57
Pt 0.7526 0.7296 0.4945  1 Si 2.36, 1 Cu 2.57
Cu 0.5000 0.5000 0.0000  6 Pt 2.57
Si 0.0000 0.0000 0.0000  6 Pt 2.36


Record 6
Pr2CuSi3Pt12 | PBE | optimized geometry

Computed properties:
Crystal system = trigonal
Uncorrected formation energy = -465.6 meV per atom

Cell lengths 7.7066, 7.7066, 7.7066 Å; angles 64.69, 64.69, 64.69 degrees
With the nearest neighbours (Å) after each atom.
Element x y z (fractional)
Pt 0.3550 0.3550 0.8954  2 Si 2.38
Pt 0.3550 0.8954 0.3550  2 Si 2.38
Pt 0.8752 0.8752 0.3687  1 Si 2.31, 1 Cu 2.46
Pt 0.8954 0.3550 0.3550  2 Si 2.38
Pt 0.1248 0.6313 0.1248  1 Si 2.31, 1 Cu 2.46
Pt 0.1248 0.1248 0.6313  1 Si 2.31, 1 Cu 2.46
Pt 0.1046 0.6450 0.6450  2 Si 2.38
Pt 0.6450 0.6450 0.1046  2 Si 2.38
Pt 0.6313 0.1248 0.1248  1 Si 2.31, 1 Cu 2.46
Pt 0.8752 0.3687 0.8752  1 Si 2.31, 1 Cu 2.46
Pt 0.6450 0.1046 0.6450  2 Si 2.38
Pt 0.3687 0.8752 0.8752  1 Si 2.31, 1 Cu 2.46
Pr 0.6184 0.6184 0.6184  6 Pt 2.89-2.98
Pr 0.3816 0.3816 0.3816  6 Pt 2.89-2.98
Si 0.0000 0.5000 0.0000  6 Pt 2.31-2.38
Si 0.5000 0.0000 0.0000  6 Pt 2.31-2.38
Si 0.0000 0.0000 0.5000  6 Pt 2.31-2.38
Cu 0.0000 0.0000 0.0000  6 Pt 2.46


Record 7
PrCuSi2Pt5 | PBE | optimized geometry

Computed properties:
Crystal system = tetragonal
Uncorrected formation energy = -618.3 meV per atom

Cell lengths 4.1136, 4.1136, 10.1711 Å; angles 90.00, 90.00, 90.00 degrees
With the nearest neighbours (Å) after each atom.
Element x y z (fractional)
Pt 0.5000 0.0000 0.8454  2 Si 2.36, 2 Cu 2.59
Pt 0.5000 0.5000 0.5000  2 Si 2.36
Pt 0.0000 0.5000 0.8454  2 Si 2.36, 2 Cu 2.59
Pt 0.0000 0.5000 0.1546  2 Si 2.36, 2 Cu 2.59
Pt 0.5000 0.0000 0.1546  2 Si 2.36, 2 Cu 2.59
Pr 0.0000 0.0000 0.5000  4 Pt 2.91
Si 0.5000 0.5000 0.7316  5 Pt 2.36
Si 0.5000 0.5000 0.2684  5 Pt 2.36
Cu 0.0000 0.0000 0.0000  8 Pt 2.59


Record 8
PrSmCuPt | PBE | optimized geometry

Computed properties:
Crystal system = orthorhombic
Energy relative to the elements = -0.690 eV/atom

Cell lengths 3.9239, 4.5135, 5.7839 Å; angles 90.00, 109.83, 90.00 degrees
With the nearest neighbours (Å) after each atom.
Element x y z (fractional)
Pr 0.8605 0.5000 0.7211  3 Pt 3.07-3.08, 4 Cu 3.07
Cu 0.4252 0.0000 0.8504  2 Pt 2.80, 2 Sm 3.02, 4 Pr 3.07
Sm 0.1366 0.0000 0.2732  3 Cu 3.02-3.14, 4 Pt 3.06
Pt 0.5777 0.5000 0.1554  2 Cu 2.80, 4 Sm 3.06, 3 Pr 3.07-3.08


Record 9
PrSmCuPt | PBE | optimized geometry

Computed properties:
Crystal system = cubic
Energy relative to the elements = -0.626 eV/atom

Cell lengths 5.0859, 5.0859, 5.0859 Å; angles 60.00, 60.00, 60.00 degrees
With the nearest neighbours (Å) after each atom.
Element x y z (fractional)
Sm 0.5000 0.5000 0.5000  4 Cu 3.11, 4 Pt 3.11
Pt 0.7500 0.7500 0.7500  4 Sm 3.11, 4 Pr 3.11
Pr 0.0000 0.0000 0.0000  4 Cu 3.11, 4 Pt 3.11
Cu 0.2500 0.2500 0.2500  4 Pr 3.11, 4 Sm 3.11


Record 10
PrCuSnPt | PBE | optimized geometry

Computed properties:
Crystal system = cubic
Energy relative to the elements = -0.591 eV/atom

Cell lengths 4.8857, 4.8857, 4.8857 Å; angles 60.00, 60.00, 60.00 degrees
With the nearest neighbours (Å) after each atom.
Element x y z (fractional)
Pr 0.0000 0.0000 0.0000  4 Cu 2.99, 4 Pt 2.99
Cu 0.2500 0.2500 0.2500  4 Sn 2.99, 4 Pr 2.99
Sn 0.5000 0.5000 0.5000  4 Cu 2.99, 4 Pt 2.99
Pt 0.7500 0.7500 0.7500  4 Pr 2.99, 4 Sn 2.99


Record 11
Pr2Cu3Sn4Pt | PBE | optimized geometry

Computed properties:
Crystal system = tetragonal
Energy relative to the elements = -0.522 eV/atom

Cell lengths 4.5143, 4.5143, 10.7585 Å; angles 90.00, 90.00, 90.00 degrees
With the nearest neighbours (Å) after each atom.
Element x y z (fractional)
Sn 0.0000 0.0000 0.0000  4 Cu 2.67
Sn 0.5000 0.0000 0.6313  3 Cu 2.54-2.66, 2 Pt 2.66
Sn 0.5000 0.5000 0.0000  4 Cu 2.67
Sn 0.0000 0.5000 0.3687  3 Cu 2.54-2.66, 2 Pt 2.66
Cu 0.0000 0.0000 0.5000  4 Sn 2.66
Cu 0.5000 0.0000 0.8671  5 Sn 2.54-2.67
Cu 0.0000 0.5000 0.1329  5 Sn 2.54-2.67
Pr 0.0000 0.5000 0.7408  8 Sn 3.40-3.59, 2 Pt 3.44, 6 Cu 3.44-3.47
Pr 0.5000 0.0000 0.2592  8 Sn 3.40-3.59, 6 Cu 3.44-3.47, 2 Pt 3.44
Pt 0.5000 0.5000 0.5000  4 Sn 2.66


Record 12
PrCuSn2Pt4 | PBE | optimized geometry

Computed properties:
Crystal system = trigonal
Energy relative to the elements = -0.617 eV/atom

Cell lengths 4.4770, 4.4770, 9.3367 Å; angles 76.13, 76.13, 60.00 degrees
With the nearest neighbours (Å) after each atom.
Element x y z (fractional)
Cu 0.5000 0.5000 0.5000  8 Pt 2.64-2.71
Pt 0.5981 0.5981 0.2057  1 Cu 2.64, 3 Sn 2.67
Pt 0.4019 0.4019 0.7943  1 Cu 2.64, 3 Sn 2.67
Pt 0.1368 0.1368 0.5896  3 Cu 2.71, 4 Sn 2.78-2.84
Pt 0.8632 0.8632 0.4104  3 Cu 2.71, 4 Sn 2.78-2.84
Sn 0.2402 0.2402 0.2794  7 Pt 2.67-2.84
Sn 0.7598 0.7598 0.7206  7 Pt 2.67-2.84
Pr 0.0000 0.0000 0.0000  6 Pt 3.18


| no. | theoretical density (g cm⁻³) | VASP energy (eV per atom) |
| --- | --- | --- |
| 1 | 11.3 | -5.817 |
| 2 | 9.6 | -6.339 |
| 3 | 9.0 | -5.830 |
| 4 | 13.6 | -5.959 |
| 5 | 12.6 | -6.320 |
| 6 | 12.9 | -6.155 |
| 7 | 11.9 | -6.166 |
| 8 | 9.5 | -5.598 |
| 9 | 9.8 | -5.534 |
| 10 | 10.4 | -5.321 |
| 11 | 8.7 | -4.912 |
| 12 | 13.0 | -5.747 |